No. 1
Density functional theory data (PBE) for TeP2Ru after structural relaxation.

## Properties
- energy relative to the elements, uncorrected (meV/atom) = 69
- size of the total moment (μB/f.u.) = 0.00

Cell lengths 2.8938, 2.8938, 9.8019 Å; angles 90.00, 90.00, 90.00 degrees
Space group P4/mmm (No. 123)
One atom of each set of equivalent atoms:
Te: 0.0000 0.0000 0.0000 [1 per cell]
P: 0.5000 0.5000 0.3468 [2 per cell]
Ru: 0.0000 0.0000 0.5000 [1 per cell]


No. 2
Density functional theory data (PBE) for TePRu after structural relaxation.

## Properties
- energy relative to the elements, uncorrected (meV/atom) = -11
- size of the total moment (μB/f.u.) = 0.00

Cell lengths 6.1174, 6.1174, 6.1174 Å; angles 90.00, 90.00, 90.00 degrees
Space group F-43m (No. 216)
One atom of each set of equivalent atoms:
Te: 0.0000 0.0000 0.0000 [4 per cell]
P: 0.0000 0.0000 0.5000 [4 per cell]
Ru: 0.2500 0.2500 0.7500 [4 per cell]


No. 3
Density functional theory data (PBE) for TePRu2 after structural relaxation.

## Properties
- energy relative to the elements, uncorrected (meV/atom) = 55
- size of the total moment (μB/f.u.) = 0.00

Cell lengths 3.0148, 3.0148, 6.8748 Å; angles 90.00, 90.00, 90.00 degrees
Space group P4/mmm (No. 123)
One atom of each set of equivalent atoms:
Te: 0.0000 0.0000 0.0000 [1 per cell]
P: 0.0000 0.0000 0.5000 [1 per cell]
Ru: 0.5000 0.5000 0.3021 [2 per cell]


No. 4
Density functional theory data (PBE) for TePRu2 after structural relaxation.

## Properties
- energy relative to the elements, uncorrected (meV/atom) = -89
- size of the total moment (μB/f.u.) = 0.00

Cell lengths 6.8675, 3.0579, 6.6342 Å; angles 90.00, 101.21, 90.00 degrees
Space group C2/m (No. 12)
One atom of each set of equivalent atoms:
Te: 0.0000 0.0000 0.0000 [2 per cell]
P: 0.0000 0.5000 0.5000 [2 per cell]
Ru: 0.2384 0.0000 0.6738 [4 per cell]


Number 1: uncorrected energy -5.740 eV/atom. Number 2: uncorrected energy -5.954 eV/atom. Number 3: uncorrected energy -6.720 eV/atom. Number 4: uncorrected energy -6.864 eV/atom.